Record 1
# PBE Te3IrSe, optimized geometry
# relative energy among the computed polymorphs = 833 meV/atom
# total moment = 0.405 μB per atom
# V = 30.0 Å³ per atom
# space group = No. 221
# uncorrected energy = -14.65 eV per cell
# formation energy (no corrections) = 1.424 eV per atom
data_Te3IrSe
_chemical_formula_sum 'Te3 Ir1 Se1'
_cell_length_a 5.311
_cell_length_b 5.311
_cell_length_c 5.311
_cell_angle_alpha 90.00
_cell_angle_beta 90.00
_cell_angle_gamma 90.00
_symmetry_space_group_name_H-M 'P 1'
_symmetry_Int_Tables_number 1
_symmetry_space_group_name_Hall 'P 1'
loop_
_atom_site_label
_atom_site_type_symbol
_atom_site_fract_x
_atom_site_fract_y
_atom_site_fract_z
_atom_site_occupancy
Te1 Te 0.000 0.500 0.000 1
Te2 Te 0.500 0.000 0.000 1
Te3 Te 0.000 0.000 0.500 1
Ir1 Ir 0.500 0.500 0.500 1
Se1 Se 0.000 0.000 0.000 1

***

Record 2
# PBE CaZnW2, optimized geometry
# total moment = 0.000 μB per atom
# V = 18.1 Å³ per atom
# space group = No. 47
# formation energy from the elements = 2.68 eV/f.u.
# uncorrected energy = -26.50 eV per cell
data_CaZnW2
_chemical_formula_sum 'Ca1 Zn1 W2'
_cell_length_a 3.133
_cell_length_b 4.605
_cell_length_c 5.014
_cell_angle_alpha 90.00
_cell_angle_beta 90.00
_cell_angle_gamma 90.00
_symmetry_space_group_name_H-M 'P 1'
_symmetry_Int_Tables_number 1
_symmetry_space_group_name_Hall 'P 1'
loop_
_atom_site_label
_atom_site_type_symbol
_atom_site_fract_x
_atom_site_fract_y
_atom_site_fract_z
_atom_site_occupancy
W1 W 0.500 0.500 0.000 1
W2 W 0.000 0.000 0.000 1
Ca1 Ca 0.000 0.500 0.500 1
Zn1 Zn 0.500 0.000 0.500 1

***

Record 3
# PBE Dy2HfF, optimized geometry
# total moment = 0.000 μB per atom
# V = 22.2 Å³ per atom
# space group = No. 166
# uncorrected energy = -23.97 eV per cell
# formation energy (no corrections) = -0.735 eV per atom
data_Dy2HfF
_chemical_formula_sum 'Dy2 Hf1 F1'
_cell_length_a 3.185
_cell_length_b 3.185
_cell_length_c 10.291
_cell_angle_alpha 81.10
_cell_angle_beta 81.10
_cell_angle_gamma 60.00
_symmetry_space_group_name_H-M 'P 1'
_symmetry_Int_Tables_number 1
_symmetry_space_group_name_Hall 'P 1'
loop_
_atom_site_label
_atom_site_type_symbol
_atom_site_fract_x
_atom_site_fract_y
_atom_site_fract_z
_atom_site_occupancy
Dy1 Dy 0.104 0.104 0.687 1
Dy2 Dy 0.896 0.896 0.313 1
Hf1 Hf 0.000 0.000 0.000 1
F1 F 0.500 0.500 0.500 1

***

Record 4
# PBE La2BeHgPd6, optimized geometry
# total moment = 0.000 μB per atom
# V = 21.1 Å³ per atom
# space group = No. 12
# formation energy from the elements = -6.04 eV/f.u.
# uncorrected energy = -51.08 eV per cell
data_La2BeHgPd6
_chemical_formula_sum 'La2 Be1 Hg1 Pd6'
_cell_length_a 5.897
_cell_length_b 7.786
_cell_length_c 7.791
_cell_angle_alpha 44.50
_cell_angle_beta 67.70
_cell_angle_gamma 89.97
_symmetry_space_group_name_H-M 'P 1'
_symmetry_Int_Tables_number 1
_symmetry_space_group_name_Hall 'P 1'
loop_
_atom_site_label
_atom_site_type_symbol
_atom_site_fract_x
_atom_site_fract_y
_atom_site_fract_z
_atom_site_occupancy
Pd1 Pd 0.788 0.734 0.945 1
Pd2 Pd 0.734 0.788 0.533 1
Pd3 Pd 0.734 0.266 0.056 1
Pd4 Pd 0.212 0.266 0.055 1
Pd5 Pd 0.266 0.734 0.944 1
Pd6 Pd 0.266 0.212 0.467 1
La1 La 0.248 0.753 0.506 1
La2 La 0.752 0.247 0.494 1
Hg1 Hg 0.000 0.000 0.000 1
Be1 Be 0.500 0.500 0.000 1

***

Record 5
# PBE Ba2HgBr2, optimized geometry
# relative energy among the computed polymorphs = 34 meV/atom
# total moment = 0.000 μB per atom
# V = 35.6 Å³ per atom
# space group = No. 127
# uncorrected energy = -27.64 eV per cell
# formation energy (no corrections) = -1.266 eV per atom
data_Ba2HgBr2
_chemical_formula_sum 'Ba4 Hg2 Br4'
_cell_length_a 9.313
_cell_length_b 9.313
_cell_length_c 4.105
_cell_angle_alpha 90.00
_cell_angle_beta 90.00
_cell_angle_gamma 90.00
_symmetry_space_group_name_H-M 'P 1'
_symmetry_Int_Tables_number 1
_symmetry_space_group_name_Hall 'P 1'
loop_
_atom_site_label
_atom_site_type_symbol
_atom_site_fract_x
_atom_site_fract_y
_atom_site_fract_z
_atom_site_occupancy
Br1 Br 0.128 0.372 0.000 1
Br2 Br 0.872 0.628 0.000 1
Br3 Br 0.372 0.872 0.000 1
Br4 Br 0.628 0.128 0.000 1
Ba1 Ba 0.327 0.173 0.500 1
Ba2 Ba 0.827 0.327 0.500 1
Ba3 Ba 0.673 0.827 0.500 1
Ba4 Ba 0.173 0.673 0.500 1
Hg1 Hg 0.000 0.000 0.000 1
Hg2 Hg 0.500 0.500 0.000 1

***

Record 6
# PBE La8CePr4, optimized geometry
# total moment = 0.079 μB per atom
# V = 37.8 Å³ per atom
# space group = No. 166
# formation energy from the elements = 4.56 eV/f.u.
# uncorrected energy = -59.92 eV per cell
data_La8CePr4
_chemical_formula_sum 'La8 Ce1 Pr4'
_cell_length_a 12.038
_cell_length_b 12.038
_cell_length_c 7.978
_cell_angle_alpha 90.00
_cell_angle_beta 138.97
_cell_angle_gamma 120.00
_symmetry_space_group_name_H-M 'P 1'
_symmetry_Int_Tables_number 1
_symmetry_space_group_name_Hall 'P 1'
loop_
_atom_site_label
_atom_site_type_symbol
_atom_site_fract_x
_atom_site_fract_y
_atom_site_fract_z
_atom_site_occupancy
Pr1 Pr 0.500 0.500 0.000 1
Pr2 Pr 0.000 0.000 0.000 1
Pr3 Pr 0.500 0.000 0.000 1
Pr4 Pr 0.000 0.500 0.000 1
La1 La 0.502 0.751 0.253 1
La2 La 0.333 0.167 0.006 1
La3 La 0.667 0.833 0.994 1
La4 La 0.161 0.327 0.994 1
La5 La 0.839 0.673 0.006 1
La6 La 0.839 0.167 0.006 1
La7 La 0.161 0.833 0.994 1
La8 La 0.498 0.249 0.747 1
Ce1 Ce 0.000 0.500 0.500 1

***

Record 7
# PBE LiBSe2, optimized geometry
# total moment = 0.000 μB per atom
# V = 25.1 Å³ per atom
# space group = No. 6
# uncorrected energy = -34.58 eV per cell
# formation energy (no corrections) = -0.432 eV per atom
data_LiBSe2
_chemical_formula_sum 'Li2 B2 Se4'
_cell_length_a 7.918
_cell_length_b 7.241
_cell_length_c 4.244
_cell_angle_alpha 89.99
_cell_angle_beta 90.00
_cell_angle_gamma 124.49
_symmetry_space_group_name_H-M 'P 1'
_symmetry_Int_Tables_number 1
_symmetry_space_group_name_Hall 'P 1'
loop_
_atom_site_label
_atom_site_type_symbol
_atom_site_fract_x
_atom_site_fract_y
_atom_site_fract_z
_atom_site_occupancy
Li1 Li 0.007 0.161 0.083 1
Li2 Li 0.705 0.302 0.083 1
Se1 Se 0.402 0.354 0.083 1
Se2 Se 0.825 0.186 0.583 1
Se3 Se 0.861 0.739 0.083 1
Se4 Se 0.527 0.807 0.583 1
B1 B 0.619 0.590 0.390 1
B2 B 0.619 0.590 0.776 1

***

Record 8
# PBE Y3HfPa2N6, optimized geometry
# total moment = 0.000 μB per atom
# V = 14.4 Å³ per atom
# space group = No. 12
# uncorrected energy = -118.47 eV per cell
# formation energy (no corrections) = -1.681 eV per atom
data_Y3HfPa2N6
_chemical_formula_sum 'Y3 Hf1 Pa2 N6'
_cell_length_a 5.960
_cell_length_b 5.960
_cell_length_c 5.963
_cell_angle_alpha 99.51
_cell_angle_beta 99.51
_cell_angle_gamma 120.01
_symmetry_space_group_name_H-M 'P 1'
_symmetry_Int_Tables_number 1
_symmetry_space_group_name_Hall 'P 1'
loop_
_atom_site_label
_atom_site_type_symbol
_atom_site_fract_x
_atom_site_fract_y
_atom_site_fract_z
_atom_site_occupancy
Y1 Y 0.835 0.165 0.500 1
Y2 Y 0.500 0.500 0.500 1
Y3 Y 0.165 0.835 0.500 1
N1 N 0.248 0.248 0.766 1
N2 N 0.752 0.752 0.234 1
N3 N 0.924 0.596 0.771 1
N4 N 0.596 0.924 0.771 1
N5 N 0.404 0.076 0.229 1
N6 N 0.076 0.404 0.229 1
Pa1 Pa 0.666 0.334 0.000 1
Pa2 Pa 0.334 0.666 0.000 1
Hf1 Hf 0.000 0.000 0.000 1

***

Record 9
# PBE MnSi2S6, optimized geometry
# total moment = 0.336 μB per atom
# V = 19.8 Å³ per atom
# space group = No. 15
# uncorrected energy = -97.41 eV per cell
# formation energy (no corrections) = -0.436 eV per atom
data_MnSi2S6
_chemical_formula_sum 'Mn2 Si4 S12'
_cell_length_a 6.093
_cell_length_b 7.735
_cell_length_c 7.735
_cell_angle_alpha 85.36
_cell_angle_beta 81.63
_cell_angle_gamma 81.63
_symmetry_space_group_name_H-M 'P 1'
_symmetry_Int_Tables_number 1
_symmetry_space_group_name_Hall 'P 1'
loop_
_atom_site_label
_atom_site_type_symbol
_atom_site_fract_x
_atom_site_fract_y
_atom_site_fract_z
_atom_site_occupancy
S1 S 0.864 0.544 0.709 1
S2 S 0.620 0.969 0.814 1
S3 S 0.147 0.121 0.617 1
S4 S 0.380 0.031 0.186 1
S5 S 0.364 0.709 0.544 1
S6 S 0.880 0.186 0.031 1
S7 S 0.136 0.456 0.291 1
S8 S 0.353 0.383 0.879 1
S9 S 0.647 0.617 0.121 1
S10 S 0.636 0.291 0.456 1
S11 S 0.120 0.814 0.969 1
S12 S 0.853 0.879 0.383 1
Si1 Si 0.334 0.223 0.385 1
Si2 Si 0.166 0.615 0.777 1
Si3 Si 0.834 0.385 0.223 1
Si4 Si 0.666 0.777 0.615 1
Mn1 Mn 0.750 0.890 0.110 1
Mn2 Mn 0.250 0.110 0.890 1

***

Record 10
# PBE NaDyIn2, optimized geometry
# relative energy among the computed polymorphs = 0 meV/atom
# total moment = 0.000 μB per atom
# V = 26.1 Å³ per atom
# space group = No. 123
# formation energy from the elements = -1.22 eV/f.u.
# uncorrected energy = -12.61 eV per cell
data_NaDyIn2
_chemical_formula_sum 'Na1 Dy1 In2'
_cell_length_a 3.853
_cell_length_b 5.208
_cell_length_c 5.208
_cell_angle_alpha 90.00
_cell_angle_beta 90.00
_cell_angle_gamma 90.00
_symmetry_space_group_name_H-M 'P 1'
_symmetry_Int_Tables_number 1
_symmetry_space_group_name_Hall 'P 1'
loop_
_atom_site_label
_atom_site_type_symbol
_atom_site_fract_x
_atom_site_fract_y
_atom_site_fract_z
_atom_site_occupancy
In1 In 0.000 0.500 0.000 1
In2 In 0.000 0.000 0.500 1
Na1 Na 0.500 0.000 0.000 1
Dy1 Dy 0.500 0.500 0.500 1

***

Record 11
# PBE LaSc2Sn2, optimized geometry
# relative energy among the computed polymorphs = 47 meV/atom
# total moment = 0.000 μB per atom
# V = 26.2 Å³ per atom
# space group = No. 127
# formation energy from the elements = -2.93 eV/f.u.
# uncorrected energy = -57.05 eV per cell
data_LaSc2Sn2
_chemical_formula_sum 'La2 Sc4 Sn4'
_cell_length_a 8.707
_cell_length_b 8.707
_cell_length_c 3.457
_cell_angle_alpha 90.00
_cell_angle_beta 90.00
_cell_angle_gamma 90.00
_symmetry_space_group_name_H-M 'P 1'
_symmetry_Int_Tables_number 1
_symmetry_space_group_name_Hall 'P 1'
loop_
_atom_site_label
_atom_site_type_symbol
_atom_site_fract_x
_atom_site_fract_y
_atom_site_fract_z
_atom_site_occupancy
Sc1 Sc 0.355 0.145 0.500 1
Sc2 Sc 0.145 0.645 0.500 1
Sc3 Sc 0.855 0.355 0.500 1
Sc4 Sc 0.645 0.855 0.500 1
Sn1 Sn 0.651 0.151 0.000 1
Sn2 Sn 0.349 0.849 0.000 1
Sn3 Sn 0.849 0.651 0.000 1
Sn4 Sn 0.151 0.349 0.000 1
La1 La 0.000 0.000 0.000 1
La2 La 0.500 0.500 0.000 1

***

Record 12
# PBE NiSbTe2Pt, optimized geometry
# relative energy among the computed polymorphs = 0 meV/atom
# total moment = 0.000 μB per atom
# V = 24.0 Å³ per atom
# space group = No. 123
# uncorrected energy = -19.41 eV per cell
# formation energy (no corrections) = 0.563 eV per atom
data_NiSbTe2Pt
_chemical_formula_sum 'Ni1 Sb1 Te2 Pt1'
_cell_length_a 5.004
_cell_length_b 5.004
_cell_length_c 4.800
_cell_angle_alpha 90.00
_cell_angle_beta 90.00
_cell_angle_gamma 90.00
_symmetry_space_group_name_H-M 'P 1'
_symmetry_Int_Tables_number 1
_symmetry_space_group_name_Hall 'P 1'
loop_
_atom_site_label
_atom_site_type_symbol
_atom_site_fract_x
_atom_site_fract_y
_atom_site_fract_z
_atom_site_occupancy
Sb1 Sb 0.000 0.000 0.500 1
Te1 Te 0.000 0.500 0.000 1
Te2 Te 0.500 0.000 0.000 1
Pt1 Pt 0.500 0.500 0.500 1
Ni1 Ni 0.000 0.000 0.000 1